{"formula": "Cr2HgW", "functional": "PBE-GGA", "state": "optimized geometry", "ef_ev_per_atom": 0.58, "space_group": "R3m", "lattice_angstrom": [[8.9740, -0.0074, -0.0043], [8.5267, 2.7977, -0.0043], [8.5267, 1.3595, 2.4452]], "species": ["Cr", "Cr", "Hg", "W"], "fractional_positions": [[0.9911, 0.9911, 0.9911], [0.2629, 0.2629, 0.2629], [0.5050, 0.5050, 0.5050], [0.7410, 0.7410, 0.7410]]}